#w
Computed, not measured: a relaxed structure of SmEuSc at the PBE-GGA level of DFT.

Values from the calculation:
SG = I4mm (107)
Mass density = 6.0 g/cm3
D(E_F) = 1.33 states/eV/atom
V = 32.3 Å³ per atom

a b c (Å): 3.6216 3.6216 7.8119
angles (deg): 103.40 103.40 90.00
Last column: magnetic moment on the atom in μB.
Sites, in units of the cell vectors:
Sm 0.3201 0.3201 0.6402  -0.08
Sc 0.6737 0.6737 0.3475  -0.07
Eu 0.0062 0.0062 0.0124  6.95

---

#x
Computed, not measured: a relaxed structure of SmEuSc at the PBE-GGA level of DFT.

Values from the calculation:
SG = P3m1 (156)
Mass density = 6.2 g/cm3
D(E_F) = 1.50 states/eV/atom
V = 31.2 Å³ per atom

a b c (Å): 5.6389 5.6389 3.4021
angles (deg): 90.00 90.00 120.00
Last column: magnetic moment on the atom in μB.
Sites, in units of the cell vectors:
Sc 0.3333 0.6667 0.5025  0.06
Eu 0.6667 0.3333 0.4976  6.89
Sm 0.0000 0.0000 0.9999  0.02

---

Computed relative energies in units of eV/atom: #w 0.000; #x 0.055

---

#w
Computed, not measured: a relaxed structure of EuSc2Sn at the PBE-GGA level of DFT.

Values from the calculation:
SG = P4/mmm (123)
Mass density = 5.9 g/cm3
D(E_F) = 0.95 states/eV/atom
V = 25.5 Å³ per atom

a b c (Å): 4.5780 4.7243 4.7243
angles (deg): 90.00 90.00 90.00
Last column: magnetic moment on the atom in μB.
Sites, in units of the cell vectors:
Sc 0.0000 0.0000 0.5000  0.41
Eu 0.5000 0.5000 0.5000  6.91
Sc 0.0000 0.5000 0.0000  0.41
Sn 0.5000 0.0000 0.0000  -0.06

---

#x
Computed, not measured: a relaxed structure of EuSc2Sn at the PBE-GGA level of DFT.

Values from the calculation:
SG = Fm-3m (225)
Mass density = 6.0 g/cm3
D(E_F) = 1.83 states/eV/atom
V = 24.8 Å³ per atom

a b c (Å): 5.1936 5.1936 5.1941
angles (deg): 60.00 60.00 60.00
Last column: magnetic moment on the atom in μB.
Sites, in units of the cell vectors:
Sc 0.7501 0.7501 0.7497  0.33
Sn 0.5000 0.5000 0.5000  -0.05
Sc 0.2499 0.2499 0.2503  0.33
Eu 0.0000 0.0000 0.0000  7.02

---

Computed relative energies in units of eV/atom: #w 0.000; #x 0.116